(1)
First-principles (PBE-GGA) data for crystalline Ca4TlPb at its relaxed geometry, as listed in the Alexandria database.

a = 6.765 Å, b = 6.765 Å, c = 6.765 Å
α = 60.00°, β = 60.00°, γ = 60.00°
Atoms (fractional coordinates):
1 Ca 0.125 0.125 0.125
2 Ca 0.125 0.125 0.626
3 Ca 0.125 0.626 0.125
4 Ca 0.626 0.125 0.125
5 Tl 0.500 0.500 0.500
6 Pb 0.750 0.750 0.750

Space-group type   F-43m (216)
ΔE_f   135 meV/atom
Offset from the most stable computed form   49.43 kJ per mole of atoms

=====

(2)
First-principles (PBE-GGA) data for crystalline CaTlPb2 at its relaxed geometry, as listed in the Alexandria database.

a = 11.707 Å, b = 3.785 Å, c = 5.694 Å
α = 90.00°, β = 104.39°, γ = 90.00°
Atoms (fractional coordinates):
1 Ca 0.000 0.000 0.000
2 Ca 0.500 0.500 0.000
3 Tl 0.249 0.500 0.238
4 Tl 0.749 0.000 0.238
5 Pb 0.244 0.000 0.728
6 Pb 0.494 0.000 0.496
7 Pb 0.744 0.500 0.728
8 Pb 0.994 0.500 0.496

Space-group type   Cm (8)
ΔE_f   -236 meV/atom

=====

(3)
First-principles (PBE-GGA) data for crystalline CaTlPb2 at its relaxed geometry, as listed in the Alexandria database.

a = 8.859 Å, b = 8.859 Å, c = 6.591 Å
α = 90.00°, β = 90.00°, γ = 90.00°
Atoms (fractional coordinates):
1 Ca 0.000 0.000 0.000
2 Ca 0.000 0.500 0.250
3 Ca 0.500 0.000 0.750
4 Ca 0.500 0.500 0.500
5 Tl 0.000 0.000 0.500
6 Tl 0.000 0.500 0.750
7 Tl 0.500 0.000 0.250
8 Tl 0.500 0.500 0.000
9 Pb 0.225 0.250 0.625
10 Pb 0.250 0.725 0.875
11 Pb 0.250 0.775 0.375
12 Pb 0.275 0.250 0.125
13 Pb 0.725 0.750 0.125
14 Pb 0.750 0.225 0.375
15 Pb 0.750 0.275 0.875
16 Pb 0.775 0.750 0.625

Space-group type   I-42d (122)
ΔE_f   -88 meV/atom